## Al2CrSi (SCAN)

Data for a crystal of Al2CrSi relaxed with PBEsol.

The space group is P4/mmm (No. 123) and the conventional cell measures 3.803, 3.803 and 3.719 Å, with angles of 90.00, 90.00 and 90.00 degrees. Symmetry generates all atoms from Al at (0.000, 0.500, 0.000), Cr at (0.000, 0.000, 0.500) and Si at (0.500, 0.500, 0.500).

The calculated volume comes out at 54 Å³/cell. The formation energy from raw total energies comes out at -0.07 eV per atom. The value obtained for the density of states at the Fermi level is 1.8 states/eV/cell.